(1)
# CeGeAu2 | Alexandria | PBE | relaxed
data_CeGeAu2
_chemical_formula_sum 'Ce1 Ge1 Au2'
_cell_length_a 3.7700
_cell_length_b 3.7700
_cell_length_c 6.2311
_cell_angle_alpha 90.00
_cell_angle_beta 90.00
_cell_angle_gamma 90.00
_space_group_name_H-M_alt 'P 4/m m m'
_space_group_IT_number 123
_space_group_name_Hall '-P 4 2'
loop_
_atom_site_label
_atom_site_fract_x
_atom_site_fract_y
_atom_site_fract_z
Ce1 0.0000 0.0000 0.0000
Ge1 0.0000 0.0000 0.5000
Au1 0.5000 0.5000 0.2617
# Energy of formation ... -0.37 eV per atom
# Raw total energy ... -4.6473 eV per atom

---

(2)
# CaAlSe2 | Alexandria | PBE | relaxed
data_CaAlSe2
_chemical_formula_sum 'Ca2 Al2 Se4'
_cell_length_a 3.7925
_cell_length_b 6.1552
_cell_length_c 8.0484
_cell_angle_alpha 90.00
_cell_angle_beta 90.00
_cell_angle_gamma 90.00
_space_group_name_H-M_alt 'I m m m'
_space_group_IT_number 71
_space_group_name_Hall '-I 2 2'
loop_
_atom_site_label
_atom_site_fract_x
_atom_site_fract_y
_atom_site_fract_z
Ca1 0.0000 0.0000 0.0000
Al1 0.0000 0.0000 0.5000
Se1 0.0000 0.5000 0.2113
# Uncorrected formation energy ... -0.852 eV/atom
# Raw total energy ... -4.0303 eV per atom

---

(3)
# LiY2Sb | Alexandria | PBE | relaxed
data_LiY2Sb
_chemical_formula_sum 'Li3 Y6 Sb3'
_cell_length_a 4.2994
_cell_length_b 4.2994
_cell_length_c 20.5638
_cell_angle_alpha 90.00
_cell_angle_beta 90.00
_cell_angle_gamma 120.00
_space_group_name_H-M_alt 'R 3 m'
_space_group_IT_number 160
_space_group_name_Hall 'R 3 -2"'
loop_
_atom_site_label
_atom_site_fract_x
_atom_site_fract_y
_atom_site_fract_z
Li1 0.0000 0.0000 0.0000
Y1 0.0000 0.0000 0.2227
Y2 0.0000 0.0000 0.4245
Sb1 0.0000 0.0000 0.6535
# Uncorrected formation energy ... -0.426 eV/atom
# Raw total energy ... -5.1675 eV per atom